No. 1
Below is AlInRu2 after structural relaxation, with properties calculated at the PBE level.

Properties
**D(E_F)**: 5.0 states/eV/f.u.
**V**: 15.69 A^3/atom
**E_tot**: -6.21 eV/atom
**Symmetry**: I-4m2 (119)

Cell lengths 5.039, 5.039, 5.039 Å; angles 135.13, 135.13, 65.33 degrees
Element x y z (fractional)
1 Al 0.000 0.000 0.000
2 In 0.250 0.750 0.500
3 Ru 0.500 0.500 0.000
4 Ru 0.750 0.250 0.500

***

No. 2
Below is AlInRu2 after structural relaxation, with properties calculated at the PBE level.

Properties
**D(E_F)**: 3.0 states/eV/f.u.
**V**: 15.76 A^3/atom
**E_tot**: -6.26 eV/atom
**Symmetry**: Immm (71)

Cell lengths 5.113, 5.113, 5.113 Å; angles 144.79, 123.89, 67.99 degrees
Element x y z (fractional)
1 Al 0.000 0.000 0.000
2 In 0.500 0.500 0.000
3 Ru 0.229 0.729 0.500
4 Ru 0.771 0.271 0.500